Record 1
# Ag2Se | Alexandria | GGA-PBEsol | optimized geometry
data_Ag2Se
_chemical_formula_sum 'Ag2 Se1'
_cell_length_a 4.890
_cell_length_b 4.890
_cell_length_c 4.890
_cell_angle_alpha 136.69
_cell_angle_beta 136.69
_cell_angle_gamma 62.91
_space_group_name_H-M_alt 'P 1'
_space_group_IT_number 1
loop_
_space_group_symop_operation_xyz
'x,y,z'
loop_
_atom_site_label
_atom_site_fract_x
_atom_site_fract_y
_atom_site_fract_z
Ag1 0.168 0.168 0.000
Ag2 0.832 0.832 0.000
Se1 0.500 0.500 0.000
# **Symmetry**: No. 139
# **DOS at the Fermi energy**: 0.262 states/eV per atom
# **E_form (uncorrected)**: 2.7 kJ/mol of atoms
# **Theoretical density**: 9.01 g/cm3
# **Total moment**: 0.00 μB/f.u.

***

Record 2
# CoSbAs2 | Alexandria | GGA-PBEsol | optimized geometry
data_CoSbAs2
_chemical_formula_sum 'Co1 Sb1 As2'
_cell_length_a 3.458
_cell_length_b 3.458
_cell_length_c 8.429
_cell_angle_alpha 100.95
_cell_angle_beta 100.95
_cell_angle_gamma 53.93
_space_group_name_H-M_alt 'P 1'
_space_group_IT_number 1
loop_
_space_group_symop_operation_xyz
'x,y,z'
loop_
_atom_site_label
_atom_site_fract_x
_atom_site_fract_y
_atom_site_fract_z
Co1 0.000 0.000 0.000
Sb1 0.500 0.500 0.500
As1 0.363 0.363 0.156
As2 0.637 0.637 0.844
# **Symmetry**: No. 12
# **DOS at the Fermi energy**: 0.742 states/eV per atom
# **E_form (uncorrected)**: -1.2 kJ/mol of atoms
# **Theoretical density**: 6.90 g/cm3
# **Total moment**: 0.00 μB/f.u.